The following is a PBE calculation of an optimized crystal structure of Nd2MgZn3Ge4, from the Alexandria database.

a = 4.291 Å, b = 4.291 Å, c = 11.045 Å
α = 90.00°, β = 90.00°, γ = 90.00°
Fractional coordinates of all 10 atoms:
Nd (0.000, 0.500, 0.240)
Nd (0.500, 0.000, 0.760)
Mg (0.000, 0.000, 0.500)
Zn (0.000, 0.500, 0.869)
Zn (0.500, 0.000, 0.131)
Zn (0.500, 0.500, 0.500)
Ge (0.000, 0.000, 0.000)
Ge (0.000, 0.500, 0.647)
Ge (0.500, 0.000, 0.353)
Ge (0.500, 0.500, 0.000)

Properties
SG	P-4m2, No. 115
ΔH_f (0 K)	-0.4063	eV per atom
VASP energy	-37.48	eV/cell
spin magnetization	0.000	μB per atom
DOS at the Fermi energy	4.9	states/eV per cell

***

The following is a PBE calculation of an optimized crystal structure of AlGe3Cl, from the Alexandria database.

a = 4.973 Å, b = 4.973 Å, c = 4.973 Å
α = 90.00°, β = 90.00°, γ = 90.00°
Fractional coordinates of all 5 atoms:
Al (0.000, 0.000, 0.000)
Ge (0.000, 0.500, 0.500)
Ge (0.500, 0.000, 0.500)
Ge (0.500, 0.500, 0.000)
Cl (0.500, 0.500, 0.500)

Properties
SG	Pm-3m, No. 221
ΔE_f (raw)	0.824	eV/atom
relative energy among the computed polymorphs	0.329	eV per atom
VASP energy	-15.32	eV/cell
spin magnetization	0.000	μB per atom
DOS at the Fermi energy	2.5	states/eV per cell